{
  "formula": "NdErIn2Te4",
  "functional": "GGA-PBE",
  "state": "optimized geometry",
  "rho_g_cm3": 6.26,
  "final_energy_ev_per_atom": -4.39,
  "lattice_angstrom": [[4.453, 0.000, 0.000], [0.000, 8.491, -0.443], [0.000, 2.712, 7.234]],
  "species": ["Te", "Te", "Te", "Te", "Er", "In", "In", "Nd"],
  "fractional_positions": [[0.000, 0.275, 0.250], [0.500, 0.719, 0.269], [0.500, 0.281, 0.731], [0.000, 0.725, 0.750], [0.000, 0.500, 0.500], [0.000, 0.000, 0.000], [0.500, 0.000, 0.500], [0.500, 0.500, 0.000]]
}


{
  "formula": "B2MoP2",
  "functional": "GGA-PBE",
  "state": "optimized geometry",
  "rho_g_cm3": 5.05,
  "delta_e_f_mev_per_atom": 177,
  "final_energy_ev_per_atom": -6.82,
  "lattice_angstrom": [[6.202, 0.000, 0.000], [0.000, 6.202, 0.000], [0.000, 0.000, 3.072]],
  "species": ["B", "B", "B", "B", "Mo", "Mo", "P", "P", "P", "P"],
  "fractional_positions": [[0.094, 0.406, 0.000], [0.406, 0.906, 0.000], [0.906, 0.594, 0.000], [0.594, 0.094, 0.000], [0.000, 0.000, 0.000], [0.500, 0.500, 0.000], [0.219, 0.281, 0.500], [0.719, 0.219, 0.500], [0.281, 0.781, 0.500], [0.781, 0.719, 0.500]]
}


{
  "formula": "NaSr2BN2",
  "functional": "GGA-PBE",
  "state": "optimized geometry",
  "rho_g_cm3": 3.24,
  "final_energy_ev_per_atom": -5.26,
  "lattice_angstrom": [[5.142, 0.000, 0.000], [0.000, 5.142, 0.000], [0.000, 0.000, 9.186]],
  "species": ["Na", "Na", "B", "B", "N", "N", "N", "N", "Sr", "Sr", "Sr", "Sr"],
  "fractional_positions": [[0.500, 0.500, 0.000], [0.000, 0.000, 0.500], [0.500, 0.500, 0.500], [0.000, 0.000, 0.000], [0.000, 0.000, 0.149], [0.000, 0.000, 0.851], [0.500, 0.500, 0.649], [0.500, 0.500, 0.351], [0.000, 0.500, 0.750], [0.500, 0.000, 0.250], [0.000, 0.500, 0.250], [0.500, 0.000, 0.750]]
}


{
  "formula": "La3Se",
  "functional": "GGA-PBE",
  "state": "optimized geometry",
  "rho_g_cm3": 6.93,
  "final_energy_ev_per_atom": -4.89,
  "lattice_angstrom": [[-5.301, 1.389, 0.642], [-3.778, -3.905, 0.959], [-2.370, -0.384, 4.967]],
  "species": ["La", "La", "La", "Se"],
  "fractional_positions": [[0.500, 0.500, 0.500], [0.000, 0.000, 0.000], [0.250, 0.250, 0.250], [0.750, 0.750, 0.750]]
}